Entry 1:
The following is a DFT calculation (PBEsol) of a geometry-optimized Sr4GeP4 structure.

Properties
- volume (A^3/atom) = 26.5
- DFT formation energy (meV/atom) = -967

Unit cell a=12.4097 b=12.4097 c=12.4097 alpha=90.00 beta=90.00 gamma=90.00
Last column: nearest neighbours and their distance in Å.
Element x y z (fractional)
Sr 0.0962 0.1325 0.6446  6 P 3.06-3.22, 1 Ge 3.09
Sr 0.0962 0.8675 0.3554  6 P 3.06-3.22, 1 Ge 3.09
Sr 0.1325 0.3554 0.9038  6 P 3.06-3.22, 1 Ge 3.09
Sr 0.1325 0.6446 0.0962  6 P 3.06-3.22, 1 Ge 3.09
Sr 0.1449 0.1449 0.1449  6 P 3.09-3.21, 1 Ge 3.11
Sr 0.1446 0.3675 0.4038  6 P 3.06-3.22, 1 Ge 3.09
Sr 0.1446 0.6325 0.5962  6 P 3.06-3.22, 1 Ge 3.09
Sr 0.1449 0.8551 0.8551  6 P 3.09-3.21, 1 Ge 3.11
Sr 0.3554 0.0962 0.8675  6 P 3.06-3.22, 1 Ge 3.09
Sr 0.3551 0.3551 0.6449  6 P 3.09-3.21, 1 Ge 3.11
Sr 0.3551 0.6449 0.3551  6 P 3.09-3.21, 1 Ge 3.11
Sr 0.3554 0.9038 0.1325  6 P 3.06-3.22, 1 Ge 3.09
Sr 0.3675 0.4038 0.1446  6 P 3.06-3.22, 1 Ge 3.09
Sr 0.3675 0.5962 0.8554  6 P 3.06-3.22, 1 Ge 3.09
Sr 0.4038 0.1446 0.3675  6 P 3.06-3.22, 1 Ge 3.09
Sr 0.4038 0.8554 0.6325  6 P 3.06-3.22, 1 Ge 3.09
Sr 0.5962 0.1446 0.6325  6 P 3.06-3.22, 1 Ge 3.09
Sr 0.5962 0.8554 0.3675  6 P 3.06-3.22, 1 Ge 3.09
Sr 0.6325 0.4038 0.8554  6 P 3.06-3.22, 1 Ge 3.09
Sr 0.6325 0.5962 0.1446  6 P 3.06-3.22, 1 Ge 3.09
Sr 0.6446 0.0962 0.1325  6 P 3.06-3.22, 1 Ge 3.09
Sr 0.6449 0.3551 0.3551  6 P 3.09-3.21, 1 Ge 3.11
Sr 0.6449 0.6449 0.6449  6 P 3.09-3.21, 1 Ge 3.11
Sr 0.6446 0.9038 0.8675  6 P 3.06-3.22, 1 Ge 3.09
Sr 0.8551 0.1449 0.8551  6 P 3.09-3.21, 1 Ge 3.11
Sr 0.8554 0.3675 0.5962  6 P 3.06-3.22, 1 Ge 3.09
Sr 0.8554 0.6325 0.4038  6 P 3.06-3.22, 1 Ge 3.09
Sr 0.8551 0.8551 0.1449  6 P 3.09-3.21, 1 Ge 3.11
Sr 0.8675 0.3554 0.0962  6 P 3.06-3.22, 1 Ge 3.09
Sr 0.8675 0.6446 0.9038  6 P 3.06-3.22, 1 Ge 3.09
Sr 0.9038 0.1325 0.3554  6 P 3.06-3.22, 1 Ge 3.09
Sr 0.9038 0.8675 0.6446  6 P 3.06-3.22, 1 Ge 3.09
Ge 0.0000 0.0000 0.0000  4 P 2.35
Ge 0.0000 0.5000 0.2500  4 P 2.36
Ge 0.0000 0.5000 0.7500  4 P 2.36
Ge 0.2500 0.0000 0.5000  4 P 2.36
Ge 0.5000 0.2500 0.0000  4 P 2.36
Ge 0.5000 0.5000 0.5000  4 P 2.35
Ge 0.5000 0.7500 0.0000  4 P 2.36
Ge 0.7500 0.0000 0.5000  4 P 2.36
P 0.1073 0.3820 0.6471  1 Ge 2.36
P 0.1073 0.6180 0.3529  1 Ge 2.36
P 0.1091 0.1091 0.8909  1 Ge 2.35
P 0.1091 0.8909 0.1091  1 Ge 2.35
P 0.1180 0.3927 0.1471  1 Ge 2.36
P 0.1180 0.6073 0.8529  1 Ge 2.36
P 0.1471 0.1180 0.3927  1 Ge 2.36
P 0.1471 0.8820 0.6073  1 Ge 2.36
P 0.3529 0.1073 0.6180  1 Ge 2.36
P 0.3529 0.8927 0.3820  1 Ge 2.36
P 0.3820 0.3529 0.8927  1 Ge 2.36
P 0.3820 0.6471 0.1073  1 Ge 2.36
P 0.3909 0.3909 0.3909  1 Ge 2.35
P 0.3909 0.6091 0.6091  1 Ge 2.35
P 0.3927 0.1471 0.1180  1 Ge 2.36
P 0.3927 0.8529 0.8820  1 Ge 2.36
P 0.6073 0.1471 0.8820  1 Ge 2.36
P 0.6073 0.8529 0.1180  1 Ge 2.36
P 0.6091 0.3909 0.6091  1 Ge 2.35
P 0.6091 0.6091 0.3909  1 Ge 2.35
P 0.6180 0.3529 0.1073  1 Ge 2.36
P 0.6180 0.6471 0.8927  1 Ge 2.36
P 0.6471 0.1073 0.3820  1 Ge 2.36
P 0.6471 0.8927 0.6180  1 Ge 2.36
P 0.8529 0.1180 0.6073  1 Ge 2.36
P 0.8529 0.8820 0.3927  1 Ge 2.36
P 0.8820 0.3927 0.8529  1 Ge 2.36
P 0.8820 0.6073 0.1471  1 Ge 2.36
P 0.8909 0.1091 0.1091  1 Ge 2.35
P 0.8909 0.8909 0.8909  1 Ge 2.35
P 0.8927 0.3820 0.3529  1 Ge 2.36
P 0.8927 0.6180 0.6471  1 Ge 2.36

Entry 2:
The following is a DFT calculation (PBEsol) of a geometry-optimized Rb2O structure.

Properties
- volume (A^3/atom) = 25.0
- E (eV for the cell shown) = -10.15

Unit cell a=4.7359 b=4.7359 c=4.7359 alpha=60.00 beta=60.00 gamma=60.00
Last column: nearest neighbours and their distance in Å.
Element x y z (fractional)
Rb 0.2500 0.2500 0.2500  4 O 2.90
Rb 0.7500 0.7500 0.7500  4 O 2.90
O 0.0000 0.0000 0.0000  8 Rb 2.90